A plane-wave DFT calculation with PBE was carried out for a relaxed structure of NiTeMo2.

Cell and atoms, written as POSCAR:
```
NiTeMo2
1.0
1.5204 0.8778 8.2802
-1.5204 0.8778 8.2802
0.0000 -1.7556 8.2802
Ni Te Mo
1 1 2
Direct
0.0000 0.0000 0.0000 Ni
0.5000 0.5000 0.5000 Te
0.2547 0.2547 0.2547 Mo
0.7453 0.7453 0.7453 Mo
```

---

A plane-wave DFT calculation with PBE was carried out for a relaxed structure of NiTe2Mo.

Cell and atoms, written as POSCAR:
```
NiTe2Mo
1.0
1.8079 -2.7055 0.0000
1.8079 2.7055 0.0000
0.0000 0.0000 8.0544
Ni Te Mo
1 2 1
Direct
0.0000 0.0000 0.0000 Ni
0.5000 0.5000 0.2379 Te
0.5000 0.5000 0.7621 Te
0.0000 0.0000 0.5000 Mo
```

---

A plane-wave DFT calculation with PBE was carried out for a relaxed structure of NiTe2Mo.

Cell and atoms, written as POSCAR:
```
NiTe2Mo
1.0
-1.7742 1.8074 7.2311
1.7742 -1.8074 7.2311
1.7742 1.8074 -7.2311
Ni Te Mo
1 2 1
Direct
0.0000 0.0000 0.0000 Ni
0.5268 0.5268 0.0000 Te
0.7837 0.2837 0.5000 Te
0.3742 0.8742 0.5000 Mo
```

---

A plane-wave DFT calculation with PBE was carried out for a relaxed structure of NiTeMo.

Cell and atoms, written as POSCAR:
```
NiTeMo
1.0
4.2241 0.0000 0.0000
-2.1120 3.6581 0.0000
0.0000 0.0000 3.1865
Ni Te Mo
1 1 1
Direct
0.0000 0.0000 0.0000 Ni
0.6667 0.3333 0.0031 Te
0.3333 0.6667 0.5013 Mo
```

---

A plane-wave DFT calculation with PBE was carried out for a relaxed structure of NiTeMo2.

Cell and atoms, written as POSCAR:
```
NiTeMo2
1.0
1.5999 0.9237 7.8726
-1.5999 0.9237 7.8726
0.0000 -1.8474 7.8726
Ni Te Mo
1 1 2
Direct
0.0000 0.0000 0.0000 Ni
0.7516 0.7516 0.7516 Te
0.2568 0.2568 0.2568 Mo
0.5147 0.5147 0.5147 Mo
```

---

A plane-wave DFT calculation with PBE was carried out for a relaxed structure of NiTe2Mo.

Cell and atoms, written as POSCAR:
```
NiTe2Mo
1.0
3.4299 0.0000 0.0000
0.0000 3.4299 0.0000
0.0000 0.0000 7.5129
Ni Te Mo
1 2 1
Direct
0.0000 0.0000 0.0000 Ni
0.0000 0.0000 0.6191 Te
0.5000 0.5000 0.1508 Te
0.5000 0.5000 0.7983 Mo
```

---

A plane-wave DFT calculation with PBE was carried out for a relaxed structure of NiTe2Mo.

Cell and atoms, written as POSCAR:
```
NiTe2Mo
1.0
3.9031 0.0000 0.0000
0.0000 3.9443 0.0000
0.0000 0.0000 6.7343
Ni Te Mo
1 2 1
Direct
0.0000 0.0000 0.0000 Ni
0.0000 0.5000 0.7403 Te
0.5000 0.0000 0.2604 Te
0.5000 0.5000 0.0021 Mo
```

---

A plane-wave DFT calculation with PBE was carried out for a relaxed structure of NiTeMo2.

Cell and atoms, written as POSCAR:
```
NiTeMo2
1.0
3.3609 0.0000 0.0000
0.0000 3.3713 0.0000
0.0000 0.0000 5.8547
Ni Te Mo
1 1 2
Direct
0.0000 0.0000 0.0000 Ni
0.0000 0.0000 0.5000 Te
0.5000 0.5000 0.2062 Mo
0.5000 0.5000 0.7938 Mo
```

---

A plane-wave DFT calculation with PBE was carried out for a relaxed structure of NiTeMo2.

Cell and atoms, written as POSCAR:
```
NiTeMo2
1.0
-1.6826 2.1553 4.4397
1.6826 -2.1553 4.4397
1.6826 2.1553 -4.4397
Ni Te Mo
1 1 2
Direct
0.0000 0.0000 0.0000 Ni
0.5000 0.5000 0.0000 Te
0.2565 0.7565 0.5000 Mo
0.7435 0.2435 0.5000 Mo
```

---

A plane-wave DFT calculation with PBE was carried out for a relaxed structure of ThNiMo.

Cell and atoms, written as POSCAR:
```
ThNiMo
1.0
-1.8783 1.8783 8.2257
1.8783 -1.8783 8.2257
1.8783 1.8783 -8.2257
Th Ni Mo
2 2 2
Direct
0.1769 0.1769 0.0000 Th
0.8231 0.8231 0.0000 Th
0.3840 0.3840 0.0000 Ni
0.6160 0.6160 0.0000 Ni
0.0000 0.5000 0.5000 Mo
0.5000 0.0000 0.5000 Mo
```

---

A plane-wave DFT calculation with PBE was carried out for a relaxed structure of Ti5Ni4Mo.

Cell and atoms, written as POSCAR:
```
Ti5Ni4Mo
1.0
3.1265 0.0000 0.0000
0.0000 3.1265 0.0000
0.0000 0.0000 14.4263
Ti Ni Mo
5 4 1
Direct
0.0000 0.0000 0.0000 Ti
0.0000 0.0000 0.1935 Ti
0.0000 0.0000 0.3951 Ti
0.0000 0.0000 0.6049 Ti
0.0000 0.0000 0.8065 Ti
0.5000 0.5000 0.0970 Ni
0.5000 0.5000 0.2883 Ni
0.5000 0.5000 0.7117 Ni
0.5000 0.5000 0.9030 Ni
0.5000 0.5000 0.5000 Mo
```

---

A plane-wave DFT calculation with PBE was carried out for a relaxed structure of TiNi4Mo.

Cell and atoms, written as POSCAR:
```
TiNi4Mo
1.0
0.0000 3.3460 3.3460
3.3460 0.0000 3.3460
3.3460 3.3460 0.0000
Ti Ni Mo
1 4 1
Direct
0.0000 0.0000 0.0000 Ti
0.3752 0.3752 0.3752 Ni
0.3752 0.3752 0.8744 Ni
0.3752 0.8744 0.3752 Ni
0.8744 0.3752 0.3752 Ni
0.7500 0.7500 0.7500 Mo
```

---

Results for total energy: -7.064; -5.091; -5.658; -6.136; -7.249; -5.674; -5.786; -7.260; -7.271; -8.077; -7.659; -7.123 (in eV per atom, following the order of the records).